In2Ag7SnSb2 | GGA-PBE | relaxed

Density of states at the Fermi level, states/eV per cell: 2.42
Space group: C2/m
ΔE_f (raw), eV per formula unit: 0.99
VASP energy, eV/atom: -3.058

a = 4.102 Å, b = 4.102 Å, c = 15.894 Å
α = 97.28°, β = 97.28°, γ = 90.00°
Fractional positions:
In 0.142 0.142 0.281
In 0.858 0.858 0.719
Ag 0.000 0.000 0.000
Ag 0.072 0.572 0.144
Ag 0.230 0.230 0.460
Ag 0.428 0.928 0.856
Ag 0.572 0.072 0.144
Ag 0.770 0.770 0.540
Ag 0.928 0.428 0.856
Sn 0.500 0.500 0.000
Sb 0.318 0.318 0.638
Sb 0.682 0.682 0.362

=====

Be2HgPb | GGA-PBE | relaxed

Density of states at the Fermi level, states/eV per cell: 3.48
Space group: I4_1/amd
VASP energy, eV/atom: -2.327

a = 8.901 Å, b = 8.901 Å, c = 8.901 Å
α = 150.77°, β = 150.77°, γ = 41.81°
Fractional positions:
Be 0.000 0.000 0.000
Be 0.000 0.000 0.500
Be 0.000 0.500 0.000
Be 0.500 0.000 0.500
Hg 0.125 0.875 0.250
Hg 0.875 0.125 0.750
Pb 0.375 0.625 0.750
Pb 0.625 0.375 0.250

=====

SmAg2F6 | GGA-PBE | relaxed

Density of states at the Fermi level, states/eV per cell: 0.94
Space group: C2/m
ΔE_f (raw), eV per formula unit: -21.44
VASP energy, eV/atom: -4.788

a = 6.492 Å, b = 6.492 Å, c = 7.376 Å
α = 122.84°, β = 122.84°, γ = 36.90°
Fractional positions:
Sm 0.000 0.000 0.000
Ag 0.175 0.175 0.625
Ag 0.825 0.825 0.375
F 0.025 0.025 0.707
F 0.208 0.208 0.334
F 0.383 0.383 0.956
F 0.617 0.617 0.044
F 0.792 0.792 0.666
F 0.975 0.975 0.293

=====

YCd2 | GGA-PBE | relaxed

Density of states at the Fermi level, states/eV per cell: 2.95
Space group: Fm-3m
VASP energy, eV/atom: -2.626

a = 5.038 Å, b = 5.038 Å, c = 5.038 Å
α = 60.00°, β = 60.00°, γ = 60.00°
Fractional positions:
Y 0.000 0.000 0.000
Cd 0.250 0.250 0.250
Cd 0.750 0.750 0.750

=====

BAsIr | GGA-PBE | relaxed

Density of states at the Fermi level, states/eV per cell: 5.27
Space group: P2_1/c
VASP energy, eV/atom: -6.669

a = 5.826 Å, b = 5.429 Å, c = 5.871 Å
α = 90.00°, β = 107.37°, γ = 90.00°
Fractional positions:
B 0.128 0.159 0.340
B 0.128 0.341 0.840
B 0.872 0.659 0.160
B 0.872 0.841 0.660
As 0.341 0.549 0.655
As 0.341 0.951 0.155
As 0.659 0.049 0.845
As 0.659 0.451 0.345
Ir 0.204 0.019 0.689
Ir 0.204 0.481 0.189
Ir 0.796 0.519 0.811
Ir 0.796 0.981 0.311

=====

ScSn2Sb2 | GGA-PBE | relaxed

Density of states at the Fermi level, states/eV per cell: 9.49
Space group: P4/mbm
ΔE_f (raw), eV per formula unit: -0.73
VASP energy, eV/atom: -4.663

a = 7.680 Å, b = 7.680 Å, c = 4.676 Å
α = 90.00°, β = 90.00°, γ = 90.00°
Fractional positions:
Sc 0.000 0.000 0.000
Sc 0.500 0.500 0.000
Sn 0.161 0.339 0.500
Sn 0.339 0.839 0.500
Sn 0.661 0.161 0.500
Sn 0.839 0.661 0.500
Sb 0.150 0.650 0.000
Sb 0.350 0.150 0.000
Sb 0.650 0.850 0.000
Sb 0.850 0.350 0.000

=====

CrNi2W | GGA-PBE | relaxed

Density of states at the Fermi level, states/eV per cell: 3.67
Space group: I4/mmm
VASP energy, eV/atom: -8.502

a = 4.567 Å, b = 4.567 Å, c = 4.567 Å
α = 133.44°, β = 133.44°, γ = 67.96°
Fractional positions:
Cr 0.000 0.000 0.000
Ni 0.250 0.750 0.500
Ni 0.750 0.250 0.500
W 0.500 0.500 0.000

=====

Zr7Ir2Rh2 | GGA-PBE | relaxed

Density of states at the Fermi level, states/eV per cell: 12.65
Space group: C2/m
VASP energy, eV/atom: -8.665

a = 6.194 Å, b = 6.194 Å, c = 6.682 Å
α = 93.65°, β = 93.65°, γ = 72.43°
Fractional positions:
Zr 0.000 0.000 0.000
Zr 0.012 0.524 0.274
Zr 0.476 0.988 0.726
Zr 0.483 0.483 0.734
Zr 0.517 0.517 0.266
Zr 0.524 0.012 0.274
Zr 0.988 0.476 0.726
Ir 0.287 0.287 0.008
Ir 0.713 0.713 0.992
Rh 0.191 0.809 0.500
Rh 0.809 0.191 0.500

=====

Y5HoCu6 | GGA-PBE | relaxed

Density of states at the Fermi level, states/eV per cell: 5.80
Space group: Cmmm
VASP energy, eV/atom: -5.372

a = 7.807 Å, b = 7.807 Å, c = 6.908 Å
α = 90.00°, β = 90.00°, γ = 143.16°
Fractional positions:
Y 0.000 0.000 0.000
Y 0.333 0.667 0.000
Y 0.334 0.666 0.500
Y 0.666 0.334 0.500
Y 0.667 0.333 0.000
Ho 0.000 0.000 0.500
Cu 0.165 0.835 0.251
Cu 0.165 0.835 0.749
Cu 0.500 0.500 0.254
Cu 0.500 0.500 0.746
Cu 0.835 0.165 0.251
Cu 0.835 0.165 0.749